[1]
PBE Na4Tl7Cd, optimized geometry; SG = P-3m1, No. 164
1.0
5.386 0.000 0.000
-2.693 4.664 0.000
0.000 0.000 13.552
Na Tl Cd
4 7 1
Cartesian
0.000 3.109 2.190 Na
0.000 3.109 5.650 Na
2.693 1.555 7.902 Na
2.693 1.555 11.362 Na
0.000 0.000 3.328 Tl
0.000 0.000 6.776 Tl
0.000 0.000 10.224 Tl
0.000 3.109 9.034 Tl
0.000 3.109 12.456 Tl
2.693 1.555 1.097 Tl
2.693 1.555 4.518 Tl
0.000 0.000 0.000 Cd

[2]
PBE Na7Tl2Cd2, optimized geometry; SG = C2/m, No. 12
1.0
4.160 -6.669 0.000
4.160 6.669 0.000
-1.420 0.000 6.295
Na Tl Cd
7 2 2
Cartesian
0.000 0.000 0.000 Na
1.674 3.114 4.877 Na
2.220 0.000 2.198 Na
5.225 3.114 1.418 Na
1.674 -3.114 4.877 Na
4.679 0.000 4.096 Na
5.225 -3.114 1.418 Na
3.449 5.118 3.147 Tl
3.449 -5.118 3.147 Tl
1.580 0.000 5.356 Cd
5.319 0.000 0.938 Cd

[3]
PBE Na12TlCd2, optimized geometry; SG = P4/nbm, No. 125
1.0
6.710 0.000 0.000
0.000 6.710 0.000
0.000 0.000 24.703
Na Tl Cd
24 2 4
Cartesian
0.000 6.710 2.192 Na
6.710 0.000 22.510 Na
6.710 3.355 2.192 Na
0.000 3.355 22.510 Na
0.472 3.827 10.733 Na
0.472 6.238 13.969 Na
1.677 1.677 4.823 Na
1.677 1.677 8.015 Na
1.677 1.677 16.688 Na
1.677 1.677 19.879 Na
2.883 3.827 13.969 Na
2.883 6.238 10.733 Na
3.355 0.000 2.192 Na
3.355 6.710 22.510 Na
3.355 3.355 2.192 Na
3.355 3.355 22.510 Na
3.827 0.472 13.969 Na
3.827 2.883 10.733 Na
5.032 5.032 4.823 Na
5.032 5.032 8.015 Na
5.032 5.032 16.688 Na
5.032 5.032 19.879 Na
6.238 0.472 10.733 Na
6.238 2.883 13.969 Na
1.677 5.032 0.000 Tl
5.032 1.677 0.000 Tl
1.677 5.032 4.832 Cd
1.677 5.032 19.871 Cd
5.032 1.677 4.832 Cd
5.032 1.677 19.871 Cd

[4]
PBE Na4TlCd2, optimized geometry; SG = P1, No. 1
1.0
6.261 0.000 0.000
2.959 7.127 0.000
2.918 1.156 9.265
Na Tl Cd
8 2 4
Cartesian
0.000 0.000 0.000 Na
2.945 3.845 4.948 Na
4.295 4.571 8.258 Na
4.629 3.393 1.203 Na
6.061 6.926 0.267 Na
6.102 4.032 4.672 Na
7.534 7.565 3.744 Na
10.790 7.553 5.950 Na
4.348 6.122 3.020 Tl
7.822 4.842 1.922 Tl
1.476 1.919 2.472 Cd
4.830 1.791 6.652 Cd
7.540 6.060 7.104 Cd
7.287 3.202 7.557 Cd

[5]
PBE Na3Tl5Cd3, optimized geometry; SG = P-62m, No. 189
1.0
10.881 0.000 0.000
-5.440 9.423 0.000
0.000 0.000 3.197
Na Tl Cd
3 5 3
Cartesian
-3.223 5.583 0.000 Na
2.217 3.841 0.000 Na
6.446 0.000 0.000 Na
-1.795 3.109 1.599 Tl
3.590 0.000 1.599 Tl
0.000 6.282 1.599 Tl
5.441 3.141 1.599 Tl
3.646 6.314 1.599 Tl
-4.567 7.910 1.599 Cd
0.874 1.513 1.599 Cd
9.134 0.000 1.599 Cd

[6]
PBE Na6Tl3Cd, optimized geometry; SG = P2_1/m, No. 11
1.0
12.440 0.000 0.000
0.000 3.523 0.000
-2.907 0.000 13.543
Na Tl Cd
12 6 2
Cartesian
-0.507 0.881 2.524 Na
0.719 2.642 5.285 Na
0.601 0.881 10.823 Na
2.944 0.881 2.980 Na
2.256 0.881 7.969 Na
4.609 2.642 0.280 Na
4.924 0.881 13.263 Na
7.277 2.642 5.574 Na
6.589 2.642 10.562 Na
8.933 2.642 2.720 Na
8.814 0.881 8.257 Na
10.040 2.642 11.019 Na
-0.740 2.642 8.109 Tl
1.531 0.881 0.055 Tl
4.044 2.642 5.545 Tl
5.489 0.881 7.997 Tl
8.002 2.642 13.488 Tl
10.274 0.881 5.434 Tl
3.412 2.642 10.691 Cd
6.122 0.881 2.852 Cd

[7]
PBE NaTl7Cd4, optimized geometry; SG = C2/m, No. 12
1.0
7.214 -3.026 0.000
7.214 3.026 0.000
-4.852 0.000 8.095
Na Tl Cd
1 7 4
Cartesian
0.000 0.000 0.000 Na
-0.997 0.000 3.255 Tl
-1.359 0.000 7.175 Tl
2.357 0.000 2.386 Tl
7.214 0.000 0.000 Tl
7.219 0.000 5.710 Tl
10.936 0.000 0.920 Tl
10.573 0.000 4.840 Tl
1.231 0.000 5.318 Cd
5.343 0.000 2.596 Cd
4.233 0.000 5.500 Cd
8.345 0.000 2.778 Cd

[8]
PBE NaTl5Cd, optimized geometry; SG = P4/mmm, No. 123
1.0
5.351 0.000 0.000
0.000 5.351 0.000
0.000 0.000 7.413
Na Tl Cd
1 5 1
Cartesian
0.000 0.000 0.000 Na
0.000 2.675 2.023 Tl
0.000 2.675 5.390 Tl
2.675 0.000 2.023 Tl
2.675 0.000 5.390 Tl
2.675 2.675 0.000 Tl
0.000 0.000 3.706 Cd

It is found that the total energy values, taken in the order of the records, are -0.073; -0.054; -0.046; -0.052; -0.061; -0.060; -0.064; -0.074 Ha/atom.